14
Lattice="7.988 -2.123 0.000 7.988 2.123 0.000 -7.457 0.000 10.688" Properties=species:S:1:pos:R:3 comment="Ca2Th2Pt3 PBE relaxed" energy_ev_per_atom=-6.144 density_g_cm3=10.35 pbc="T T T"
Ca -1.441 0.000 3.635
Ca 4.010 0.000 3.694
Ca 4.509 0.000 6.994
Ca 9.960 0.000 7.053
Th -0.749 0.000 7.497
Th 5.863 0.000 0.367
Th 2.656 0.000 10.320
Th 9.268 0.000 3.191
Pt 0.485 0.000 1.285
Pt -3.682 0.000 8.974
Pt 1.433 0.000 5.175
Pt 7.086 0.000 5.513
Pt 12.201 0.000 1.714
Pt 8.034 0.000 9.403